# PBE with a Hubbard U PaFeCo2O8, optimized geometry
data_PaFeCo2O8
_space_group_name_H-M_alt 'P 1'
_space_group_IT_number 1
_cell_length_a 5.818
_cell_length_b 5.818
_cell_length_c 5.818
_cell_angle_alpha 107.59
_cell_angle_beta 107.59
_cell_angle_gamma 113.29
loop_
_space_group_symop_operation_xyz
'x,y,z'
loop_
_atom_site_label
_atom_site_type_symbol
_atom_site_fract_x
_atom_site_fract_y
_atom_site_fract_z
O1 O 0.314 0.132 0.818
Fe1 Fe 0.250 0.750 0.500
O2 O 0.355 0.038 0.317
O3 O 0.721 0.038 0.683
Co1 Co 0.500 0.500 0.000
Pa1 Pa 0.000 0.000 0.000
O4 O 0.962 0.645 0.683
O5 O 0.868 0.686 0.182
Co2 Co 0.750 0.250 0.500
O6 O 0.962 0.279 0.317
O7 O 0.504 0.686 0.818
O8 O 0.314 0.496 0.182
# * E: -6.88 eV/atom
# * magnetization: 10.994 μB per cell